VASP calculation (PBE) on crystalline BPb2Cl at its relaxed geometry.

a = 5.0339 Å, b = 5.0339 Å, c = 5.0339 Å
α = 60.00°, β = 60.00°, γ = 60.00°
Closest atoms and distances in Å follow each position.
Fractional coordinates of all 4 atoms:
Pb (0.7500, 0.7500, 0.7500)  4 B 3.08, 4 Cl 3.08
Pb (0.2500, 0.2500, 0.2500)  4 Cl 3.08, 4 B 3.08
Cl (0.5000, 0.5000, 0.5000)  8 Pb 3.08
B (0.0000, 0.0000, 0.0000)  8 Pb 3.08

Computed properties:
ΔE_f (raw) (meV per atom): 649.7
Offset from the most stable computed form (meV/atom): 244
Space group: Fm-3m
Crystal system: cubic


VASP calculation (PBE) on crystalline Sr5ZnHg2 at its relaxed geometry.

a = 5.5495 Å, b = 7.5887 Å, c = 13.8521 Å
α = 90.00°, β = 90.00°, γ = 90.00°
Closest atoms and distances in Å follow each position.
Fractional coordinates of all 16 atoms:
Hg (0.5000, 0.3810, 0.3547)  7 Sr 3.42-3.70
Hg (0.5000, 0.6190, 0.6453)  7 Sr 3.42-3.70
Sr (0.0000, 0.8590, 0.7143)  1 Zn 3.16, 2 Hg 3.45
Sr (0.0000, 0.3590, 0.7857)  1 Zn 3.16, 2 Hg 3.45
Sr (0.0000, 0.1410, 0.2857)  1 Zn 3.16, 2 Hg 3.45
Sr (0.0000, 0.0000, 0.0000)  4 Hg 3.54, 2 Zn 3.79, 4 Sr 3.94
Sr (0.5000, 0.3233, 0.0973)  2 Zn 3.36, 3 Hg 3.42-3.70
Sr (0.0000, 0.5000, 0.5000)  4 Hg 3.54, 2 Zn 3.79, 4 Sr 3.94
Hg (0.5000, 0.8810, 0.1453)  7 Sr 3.42-3.70
Zn (0.0000, 0.5000, 0.0000)  6 Sr 3.16-3.36
Zn (0.0000, 0.0000, 0.5000)  6 Sr 3.16-3.36
Sr (0.0000, 0.6410, 0.2143)  1 Zn 3.16, 2 Hg 3.45
Sr (0.5000, 0.8233, 0.4027)  2 Zn 3.36, 3 Hg 3.42-3.70
Hg (0.5000, 0.1190, 0.8547)  7 Sr 3.42-3.70
Sr (0.5000, 0.6767, 0.9027)  2 Zn 3.36, 3 Hg 3.42-3.70
Sr (0.5000, 0.1767, 0.5973)  2 Zn 3.36, 3 Hg 3.42-3.70

Computed properties:
Space group: Pbam
Crystal system: orthorhombic
Formation energy from the elements (meV/atom): -287


VASP calculation (PBE) on crystalline SmZn2GeRh at its relaxed geometry.

a = 3.9383 Å, b = 4.1832 Å, c = 6.2558 Å
α = 109.53°, β = 108.35°, γ = 90.00°
Closest atoms and distances in Å follow each position.
Fractional coordinates of all 5 atoms:
Rh (0.1940, 0.6940, 0.3880)  2 Ge 2.48, 2 Zn 2.59
Zn (0.0561, 0.0561, 0.1123)  2 Zn 2.50, 1 Ge 2.51, 2 Rh 2.59
Ge (0.8300, 0.8300, 0.6599)  2 Rh 2.48, 3 Zn 2.51-2.58
Zn (0.6944, 0.1944, 0.3888)  2 Zn 2.50, 2 Ge 2.58
Sm (0.4376, 0.4376, 0.8752)  4 Ge 3.11, 6 Zn 3.16-3.34, 4 Rh 3.42-3.46

Computed properties:
Space group: Imm2
Crystal system: orthorhombic
Formation energy from the elements (meV/atom): -526


VASP calculation (PBE) on crystalline Ba2UInS6 at its relaxed geometry.

a = 7.1502 Å, b = 7.3494 Å, c = 10.2302 Å
α = 90.00°, β = 90.27°, γ = 90.00°
Closest atoms and distances in Å follow each position.
Fractional coordinates of all 20 atoms:
S (0.5748, 0.0103, 0.2487)  1 U 2.60, 1 In 2.63
U (0.0000, 0.5000, 0.5000)  6 S 2.60-2.62
S (0.7968, 0.7918, 0.5391)  1 U 2.62, 1 In 2.64
S (0.0748, 0.4897, 0.7487)  1 U 2.60, 1 In 2.63
Ba (0.9844, 0.0589, 0.7518)  8 S 3.19-3.54
Ba (0.5156, 0.5589, 0.7482)  8 S 3.19-3.54
S (0.2032, 0.2082, 0.4609)  1 U 2.62, 1 In 2.64
S (0.9252, 0.5103, 0.2513)  1 U 2.60, 1 In 2.63
S (0.2077, 0.2044, 0.0384)  1 U 2.60, 1 In 2.66
S (0.4252, 0.9897, 0.7513)  1 U 2.60, 1 In 2.63
In (0.0000, 0.5000, 0.0000)  6 S 2.63-2.66
Ba (0.4844, 0.4411, 0.2518)  8 S 3.19-3.54
S (0.2968, 0.7082, 0.0391)  1 U 2.62, 1 In 2.64
In (0.5000, 0.0000, 0.5000)  6 S 2.63-2.66
U (0.5000, 0.0000, 0.0000)  6 S 2.60-2.62
Ba (0.0156, 0.9411, 0.2482)  8 S 3.19-3.54
S (0.2923, 0.7044, 0.4616)  1 U 2.60, 1 In 2.66
S (0.7077, 0.2956, 0.5384)  1 U 2.60, 1 In 2.66
S (0.7032, 0.2918, 0.9609)  1 U 2.62, 1 In 2.64
S (0.7923, 0.7956, 0.9616)  1 U 2.60, 1 In 2.66

Computed properties:
ΔE_f (raw) (meV per atom): -1477.2
Space group: P2_1/c
Crystal system: monoclinic


VASP calculation (PBE) on crystalline Th4BTe2C at its relaxed geometry.

a = 3.9982 Å, b = 6.8928 Å, c = 7.8275 Å
α = 107.21°, β = 90.00°, γ = 90.00°
Closest atoms and distances in Å follow each position.
Fractional coordinates of all 8 atoms:
C (0.5000, 0.5000, 0.0000)  6 Th 2.67-2.68
Te (0.0000, 0.5000, 0.5000)  6 Th 3.26
Te (0.5000, 0.0000, 0.5000)  6 Th 3.29-3.30
Th (0.5000, 0.7642, 0.8108)  1 C 2.67, 2 B 2.72
Th (0.0000, 0.7245, 0.1877)  2 C 2.68, 1 B 2.72
Th (0.5000, 0.2358, 0.1892)  1 C 2.67, 2 B 2.72
Th (0.0000, 0.2755, 0.8123)  2 C 2.68, 1 B 2.72
B (0.0000, 0.0000, 0.0000)  6 Th 2.72

Computed properties:
ΔE_f (raw) (meV per atom): -774.0
Space group: P2/m
Crystal system: monoclinic


VASP calculation (PBE) on crystalline PHCl at its relaxed geometry.

a = 4.7693 Å, b = 11.6232 Å, c = 6.9843 Å
α = 90.00°, β = 127.85°, γ = 90.00°
Closest atoms and distances in Å follow each position.
Fractional coordinates of all 12 atoms:
H (0.9397, 0.9109, 0.5504)  1 P 1.43
Cl (0.0148, 0.1404, 0.1004)  1 P 2.09
P (0.7787, 0.0000, 0.1371)  2 Cl 2.09, 1 P 2.25
P (0.1417, 0.0000, 0.5446)  2 H 1.43
H (0.9397, 0.0891, 0.5504)  1 P 1.43
Cl (0.0148, 0.3596, 0.6004)  1 P 2.09
P (0.1417, 0.5000, 0.0446)  2 H 1.43
H (0.9397, 0.5891, 0.0504)  1 P 1.43
P (0.7787, 0.5000, 0.6371)  2 Cl 2.09, 1 P 2.25
H (0.9397, 0.4109, 0.0504)  1 P 1.43
Cl (0.0148, 0.8596, 0.1004)  1 P 2.09
Cl (0.0148, 0.6404, 0.6004)  1 P 2.09

Computed properties:
Offset from the most stable computed form (meV/atom): 0
Space group: Cm
Crystal system: monoclinic


VASP calculation (PBE) on crystalline Tm5Al2Sb2 at its relaxed geometry.

a = 7.8728 Å, b = 7.8716 Å, c = 8.6037 Å
α = 117.22°, β = 90.00°, γ = 90.00°
Closest atoms and distances in Å follow each position.
Fractional coordinates of all 18 atoms:
Tm (0.3309, 0.9616, 0.2645)  3 Al 3.07-3.09, 3 Sb 3.12-3.14
Al (0.1220, 0.6228, 0.0000)  1 Al 2.73
Sb (0.0000, 0.2056, 0.4112)  7 Tm 3.12-3.15
Tm (0.1691, 0.1971, 0.7355)  3 Al 3.07-3.09, 3 Sb 3.12-3.14
Tm (0.6691, 0.0384, 0.7355)  3 Al 3.07-3.09, 3 Sb 3.12-3.14
Tm (0.8309, 0.8029, 0.2645)  3 Al 3.07-3.09, 3 Sb 3.12-3.14
Tm (0.5000, 0.5000, 0.0000)  4 Al 3.12-3.13, 2 Sb 3.15
Al (0.3780, 0.1228, 0.0000)  1 Al 2.73
Sb (0.5000, 0.7056, 0.4112)  7 Tm 3.12-3.15
Tm (0.1691, 0.4616, 0.2645)  3 Al 3.07-3.09, 3 Sb 3.12-3.14
Tm (0.0000, 0.0000, 0.0000)  4 Al 3.12-3.13, 2 Sb 3.15
Sb (0.5000, 0.2944, 0.5888)  7 Tm 3.12-3.15
Tm (0.6691, 0.3029, 0.2645)  3 Al 3.07-3.09, 3 Sb 3.12-3.14
Al (0.6220, 0.8772, 0.0000)  1 Al 2.73
Al (0.8780, 0.3772, 0.0000)  1 Al 2.73
Tm (0.3309, 0.6971, 0.7355)  3 Al 3.07-3.09, 3 Sb 3.12-3.14
Tm (0.8309, 0.5384, 0.7355)  3 Al 3.07-3.09, 3 Sb 3.12-3.14
Sb (0.0000, 0.7944, 0.5888)  7 Tm 3.12-3.15

Computed properties:
ΔE_f (raw) (meV per atom): -689.8
Space group: Cmce
Crystal system: orthorhombic


VASP calculation (PBE) on crystalline CaInRh2 at its relaxed geometry.

a = 5.7983 Å, b = 5.7983 Å, c = 5.7983 Å
α = 148.05°, β = 133.43°, γ = 57.60°
Closest atoms and distances in Å follow each position.
Fractional coordinates of all 4 atoms:
Rh (0.9951, 0.9951, 0.0000)  2 Rh 2.77, 4 Ca 2.80, 2 In 2.84
Ca (0.5069, 0.5069, 0.0000)  6 Rh 2.80-3.13
In (0.2259, 0.7259, 0.5000)  6 Rh 2.83-2.84
Rh (0.7720, 0.2720, 0.5000)  2 Rh 2.77, 4 In 2.83

Computed properties:
Space group: Imm2
Crystal system: orthorhombic
Formation energy from the elements (meV/atom): -315


VASP calculation (PBE) on crystalline MgGa at its relaxed geometry.

a = 4.8588 Å, b = 4.8588 Å, c = 5.4130 Å
α = 90.00°, β = 90.00°, γ = 120.00°
Closest atoms and distances in Å follow each position.
Fractional coordinates of all 4 atoms:
Ga (0.6667, 0.3333, 0.2500)  5 Mg 2.71-2.81
Ga (0.3333, 0.6667, 0.7500)  5 Mg 2.71-2.81
Mg (0.3333, 0.6667, 0.2500)  5 Ga 2.71-2.81
Mg (0.6667, 0.3333, 0.7500)  5 Ga 2.71-2.81

Computed properties:
Space group: P6_3/mmc
Crystal system: hexagonal
Formation energy from the elements (meV/atom): 279


VASP calculation (PBE) on crystalline SrCu2Pt2 at its relaxed geometry.

a = 7.6490 Å, b = 7.6490 Å, c = 2.9438 Å
α = 90.00°, β = 90.00°, γ = 90.00°
Closest atoms and distances in Å follow each position.
Fractional coordinates of all 10 atoms:
Cu (0.3397, 0.1603, 0.5000)  6 Pt 2.67-2.69, 2 Cu 2.94
Cu (0.6603, 0.8397, 0.5000)  6 Pt 2.67-2.69, 2 Cu 2.94
Sr (0.5000, 0.5000, 0.0000)  2 Sr 2.94, 4 Pt 2.98, 8 Cu 3.23
Cu (0.8397, 0.3397, 0.5000)  6 Pt 2.67-2.69, 2 Cu 2.94
Sr (0.0000, 0.0000, 0.0000)  2 Sr 2.94, 4 Pt 2.98, 8 Cu 3.23
Cu (0.1603, 0.6603, 0.5000)  6 Pt 2.67-2.69, 2 Cu 2.94
Pt (0.8664, 0.6336, 0.0000)  6 Cu 2.67-2.69, 3 Pt 2.89-2.94, 2 Sr 2.98
Pt (0.3664, 0.8664, 0.0000)  6 Cu 2.67-2.69, 3 Pt 2.89-2.94, 2 Sr 2.98
Pt (0.6336, 0.1336, 0.0000)  6 Cu 2.67-2.69, 3 Pt 2.89-2.94, 2 Sr 2.98
Pt (0.1336, 0.3664, 0.0000)  6 Cu 2.67-2.69, 3 Pt 2.89-2.94, 2 Sr 2.98

Computed properties:
Offset from the most stable computed form (meV/atom): 110
Space group: P4/mbm
Crystal system: tetragonal
Formation energy from the elements (meV/atom): -244


VASP calculation (PBE) on crystalline BaIn2Bi at its relaxed geometry.

a = 5.2510 Å, b = 5.0267 Å, c = 5.0267 Å
α = 90.00°, β = 90.00°, γ = 90.00°
Closest atoms and distances in Å follow each position.
Fractional coordinates of all 4 atoms:
In (0.0000, 0.5000, 0.0000)  4 In 3.55, 4 Ba 3.63, 4 Bi 3.63
Ba (0.5000, 0.5000, 0.5000)  4 Bi 3.55, 8 In 3.63
In (0.0000, 0.0000, 0.5000)  4 In 3.55, 4 Ba 3.63, 4 Bi 3.63
Bi (0.5000, 0.0000, 0.0000)  4 Ba 3.55, 8 In 3.63

Computed properties:
Space group: P4/mmm
Crystal system: tetragonal
Formation energy from the elements (meV/atom): -390


VASP calculation (PBE) on crystalline ScSb2P at its relaxed geometry.

a = 6.3975 Å, b = 6.3975 Å, c = 4.3560 Å
α = 90.00°, β = 90.00°, γ = 147.15°
Closest atoms and distances in Å follow each position.
Fractional coordinates of all 4 atoms:
Sc (0.4405, 0.5595, 0.5000)  2 P 2.71, 4 Sb 3.01
Sb (0.2587, 0.7413, 0.0000)  4 P 2.84, 1 Sb 2.88, 2 Sc 3.12
P (0.7764, 0.2236, 0.5000)  2 Sc 2.71, 4 Sb 2.84
Sb (0.0244, 0.9756, 0.0000)  1 Sb 2.88, 4 Sc 3.01

Computed properties:
ΔE_f (raw) (meV per atom): -365.8
Space group: Amm2
Crystal system: orthorhombic


no.,density (g/cm³),DFT total energy (eV/atom)
1,8.5,-3.34
2,5.2,-1.57
3,8.3,-4.37
4,5.1,-5.74
5,9.7,-7.26
6,1.5,-3.85
7,8.0,-4.92
8,8.1,-5.18
9,2.8,-2.03
10,11.7,-4.63
11,7.2,-3.21
12,5.5,-5.36